Record 1
# Fe2CuAg, relaxed, DFT PBEsol
data_Fe2CuAg
_cell_length_a 5.918
_cell_length_b 5.918
_cell_length_c 5.918
_cell_angle_alpha 90.00
_cell_angle_beta 90.00
_cell_angle_gamma 90.00
_symmetry_space_group_name_H-M 'F m -3 m'
_symmetry_Int_Tables_number 225
_symmetry_space_group_name_Hall '-F 4 2 3'
loop_
_atom_site_label
_atom_site_fract_x
_atom_site_fract_y
_atom_site_fract_z
_atom_site_occupancy
Fe1 0.250 0.250 0.250 1
Cu1 0.000 0.000 0.000 1
Ag1 0.000 0.000 0.500 1
# D(E_F): 17.20 states/eV/cell
# DFT formation energy: 494 meV/atom
# final energy: -5.900 eV per atom
# total moment: 5.457 μB/f.u.
# energy relative to the lowest polymorph listed for this composition: 255 meV per atom

Record 2
# FeCuAg, relaxed, DFT PBEsol
data_FeCuAg
_cell_length_a 5.683
_cell_length_b 5.683
_cell_length_c 5.683
_cell_angle_alpha 90.00
_cell_angle_beta 90.00
_cell_angle_gamma 90.00
_symmetry_space_group_name_H-M 'F -4 3 m'
_symmetry_Int_Tables_number 216
_symmetry_space_group_name_Hall 'F -4 2 3'
loop_
_atom_site_label
_atom_site_fract_x
_atom_site_fract_y
_atom_site_fract_z
_atom_site_occupancy
Fe1 0.000 0.000 0.000 1
Cu1 0.250 0.250 0.750 1
Ag1 0.000 0.000 0.500 1
# D(E_F): 12.23 states/eV/cell
# DFT formation energy: 716 meV/atom
# final energy: -4.821 eV per atom
# total moment: 2.795 μB/f.u.

Record 3
# Ga3CuAg, relaxed, DFT PBEsol
data_Ga3CuAg
_cell_length_a 4.576
_cell_length_b 4.576
_cell_length_c 4.576
_cell_angle_alpha 90.00
_cell_angle_beta 90.00
_cell_angle_gamma 90.00
_symmetry_space_group_name_H-M 'P m -3 m'
_symmetry_Int_Tables_number 221
_symmetry_space_group_name_Hall '-P 4 2 3'
loop_
_atom_site_label
_atom_site_fract_x
_atom_site_fract_y
_atom_site_fract_z
_atom_site_occupancy
Ga1 0.000 0.000 0.500 1
Cu1 0.000 0.000 0.000 1
Ag1 0.500 0.500 0.500 1
# D(E_F): 2.05 states/eV/cell
# DFT formation energy: 279 meV/atom
# final energy: -3.254 eV per atom
# total moment: 0.000 μB/f.u.